First-principles (PBE-GGA) data for a relaxed structure of Ce2Zn2Ge, as listed in Alexandria via LeMat-Bulk.

Computed properties:
Symmetry: No. 139
Energy of formation in eV/f.u.: -1.1

a = 8.7478 Å, b = 8.7478 Å, c = 8.7478 Å
α = 155.13°, β = 155.13°, γ = 35.46°
Last column: nearest neighbours and their distance in Å.
Fractional positions:
Ce  0.0883  0.0883  0.0000  1 Ce 2.94, 4 Ge 3.04, 4 Zn 3.29
Ce  0.9117  0.9117  0.0000  1 Ce 2.94, 4 Ge 3.04, 4 Zn 3.29
Zn  0.2500  0.7500  0.5000  4 Zn 2.66
Zn  0.7500  0.2500  0.5000  4 Zn 2.66
Ge  0.5000  0.5000  0.0000  8 Ce 3.04